Compound: CaPmGdTh
Source: the Alexandria database
Functional: PBE
Structure: relaxed

## Properties
total magnetization: 8.8 Bohr magnetons per cell
formation energy from the elements: 0.2100 eV/atom

The structure in POSCAR format:
```
CaPmGdTh
1.0
0.000 4.099 4.099
4.099 0.000 4.099
4.099 4.099 0.000
Ca Pm Gd Th
1 1 1 1
Direct
0.000 0.000 0.000
0.250 0.250 0.250
0.750 0.750 0.750
0.500 0.500 0.500
```